VASP calculation (GGA-PBE) on NaSrSmS3 after structural relaxation.

Properties
uncorrected energy	-5.22	eV per atom

Lattice parameters (Å, degrees): 17.3406 4.0550 8.7448 90.00 105.03 90.00
With the nearest neighbours (Å) after each atom.
Space group C2/m (No. 12)
Unique sites:
1 Na 0.0023 0.0000 0.2028 [4 per cell]  4 S 2.61-2.86
2 Sr 0.1346 0.5000 0.5662 [4 per cell]  7 S 3.03-3.21
3 Sm 0.1665 0.5000 0.0903 [4 per cell]  6 S 2.79-2.86
4 S 0.0000 0.0000 0.5000 [2 per cell]  2 Na 2.61
5 S 0.0000 0.5000 0.0000 [2 per cell]  4 Na 2.69, 2 Sm 2.79
6 S 0.1679 0.0000 0.8603 [4 per cell]  3 Sm 2.79-2.86, 1 Na 2.86
7 S 0.1782 0.0000 0.3176 [4 per cell]  2 Sm 2.81, 1 Na 2.95, 1 Sr 3.14

VASP calculation (GGA-PBE) on Bi2Ir after structural relaxation.

Properties
uncorrected energy	-4.69	eV per atom

Lattice parameters (Å, degrees): 11.8501 11.8501 11.8501 90.00 90.00 90.00
With the nearest neighbours (Å) after each atom.
Space group Fd-3m (No. 227, origin choice 2)
Unique sites:
1 Bi 0.0000 0.0000 0.0000 [16 per cell]  2 Ir 2.57
2 Ir 0.1250 0.1250 0.1250 [8 per cell]  4 Bi 2.57

VASP calculation (GGA-PBE) on LuZnPt after structural relaxation.

Properties
uncorrected energy	-4.87	eV per atom
DFT formation energy	-0.92	eV per atom

Lattice parameters (Å, degrees): 4.4281 4.4281 6.6780 90.00 90.00 120.00
With the nearest neighbours (Å) after each atom.
Space group P6_3/mmc (No. 194)
Unique sites:
1 Lu 0.0000 0.0000 0.0000 [2 per cell]  6 Pt 3.05, 6 Zn 3.05, 2 Lu 3.34
2 Zn 0.3333 0.6667 0.2500 [2 per cell]  3 Pt 2.56
3 Pt 0.3333 0.6667 0.7500 [2 per cell]  3 Zn 2.56

VASP calculation (GGA-PBE) on NpNbCo after structural relaxation.

Properties
uncorrected energy	-9.04	eV per atom
DFT formation energy	0.95	eV per atom

Lattice parameters (Å, degrees): 6.0850 6.0850 6.0850 90.00 90.00 90.00
With the nearest neighbours (Å) after each atom.
Space group F-43m (No. 216)
Unique sites:
1 Np 0.0000 0.0000 0.0000 [4 per cell]  4 Nb 2.63, 4 Co 2.63
2 Nb 0.2500 0.2500 0.7500 [4 per cell]  4 Np 2.63
3 Co 0.2500 0.2500 0.2500 [4 per cell]  4 Np 2.63

VASP calculation (GGA-PBE) on AcNdBi after structural relaxation.

Properties
uncorrected energy	-4.70	eV per atom

Lattice parameters (Å, degrees): 7.7821 7.7821 7.7821 90.00 90.00 90.00
With the nearest neighbours (Å) after each atom.
Space group F-43m (No. 216)
Unique sites:
1 Ac 0.0000 0.0000 0.0000 [4 per cell]  4 Bi 3.37
2 Nd 0.0000 0.0000 0.5000 [4 per cell]  4 Bi 3.37
3 Bi 0.2500 0.2500 0.2500 [4 per cell]  4 Ac 3.37, 4 Nd 3.37

VASP calculation (GGA-PBE) on MoP after structural relaxation.

Properties
uncorrected energy	-8.26	eV per atom

Lattice parameters (Å, degrees): 5.0310 4.5148 5.1884 90.00 90.00 90.00
With the nearest neighbours (Å) after each atom.
Space group Pmma (No. 51)
Unique sites:
1 Mo 0.0000 0.0000 0.0000 [2 per cell]  2 Mo 2.52, 6 P 2.58-2.76
2 Mo 0.2500 0.5000 0.3032 [2 per cell]  6 P 2.36-2.64
3 P 0.2500 0.0000 0.4342 [2 per cell]  4 Mo 2.36-2.58, 2 P 2.61
4 P 0.2500 0.5000 0.8117 [2 per cell]  8 Mo 2.55-2.76